This record from the Alexandria database describes K4Nd3PaO8 after structural relaxation. The functional is GGA-PBE.

The structure in CIF format:
```
data_K4Nd3PaO8
_space_group_name_H-M_alt 'P 1'
_space_group_IT_number 1
_space_group_name_Hall 'P 1'
_cell_length_a 7.5888
_cell_length_b 7.5888
_cell_length_c 7.5888
_cell_angle_alpha 57.04
_cell_angle_beta 57.04
_cell_angle_gamma 57.04
loop_
_atom_site_label
_atom_site_fract_x
_atom_site_fract_y
_atom_site_fract_z
_atom_site_occupancy
K1 0.0000 0.0000 0.0000 1
K2 0.0000 0.5000 0.5000 1
K3 0.5000 0.0000 0.5000 1
K4 0.5000 0.5000 0.0000 1
Nd1 0.0000 0.0000 0.5000 1
Nd2 0.0000 0.5000 0.0000 1
Nd3 0.5000 0.0000 0.0000 1
Pa1 0.5000 0.5000 0.5000 1
O1 0.2321 0.2321 0.2321 1
O2 0.2511 0.7194 0.7194 1
O3 0.2806 0.2806 0.7489 1
O4 0.2806 0.7489 0.2806 1
O5 0.7194 0.2511 0.7194 1
O6 0.7194 0.7194 0.2511 1
O7 0.7489 0.2806 0.2806 1
O8 0.7679 0.7679 0.7679 1
```

Summary:
E_form (uncorrected) ... -2.545 eV per atom
Total DFT energy (no corrections) ... -0.249 hartree per atom
Symmetry ... R-3m, No. 166